[1]
LiTb2Pd: optimized geometry, PBE.

Unit cell a=8.0851 b=8.0851 c=8.0851 alpha=29.62 beta=29.62 gamma=29.62
With the nearest neighbours (Å) after each atom.
Element x y z (fractional)
1 Li 0.0000 0.0000 0.0000  6 Tb 3.32-3.41
2 Tb 0.5618 0.5618 0.5618  3 Pd 2.83
3 Tb 0.7661 0.7661 0.7661  3 Pd 2.80
4 Pd 0.1631 0.1631 0.1631  6 Tb 2.80-2.83


[2]
CdSnPb: optimized geometry, PBE.

Unit cell a=5.0555 b=5.0555 c=5.0555 alpha=60.00 beta=60.00 gamma=60.00
With the nearest neighbours (Å) after each atom.
Element x y z (fractional)
1 Cd 0.0000 0.0000 0.0000  4 Pb 3.10, 4 Sn 3.10
2 Sn 0.2500 0.2500 0.2500  4 Cd 3.10
3 Pb 0.7500 0.7500 0.7500  4 Cd 3.10


no.,formation energy (eV per atom)
1,-0.24
2,0.08